(1)
A plane-wave DFT calculation with PBE was carried out for a relaxed structure of KYCd2.

Structure (CIF):
```
data_KYCd2
_symmetry_space_group_name_H-M 'P m m m'
_symmetry_Int_Tables_number 47
_cell_length_a 3.8134
_cell_length_b 3.8795
_cell_length_c 8.4916
_cell_angle_alpha 90.00
_cell_angle_beta 90.00
_cell_angle_gamma 90.00
loop_
_symmetry_equiv_pos_as_xyz
'x,y,z'
'-x,-y,-z'
'-x,-y,z'
'x,y,-z'
'x,-y,-z'
'-x,y,z'
'-x,y,-z'
'x,-y,z'
loop_
_atom_site_label
_atom_site_type_symbol
_atom_site_fract_x
_atom_site_fract_y
_atom_site_fract_z
K1 K 0.0000 0.0000 0.0000
Y1 Y 0.0000 0.0000 0.5000
Cd1 Cd 0.5000 0.5000 0.2985
```

- E above lowest polymorph: 0 meV/atom
- ΔH_f (0 K): -0.1171 eV per atom
- Total energy: -2.465 eV/atom

=====

(2)
A plane-wave DFT calculation with PBE was carried out for a relaxed structure of Rb2TcI.

Structure (CIF):
```
data_Rb2TcI
_symmetry_space_group_name_H-M 'F m -3 m'
_symmetry_Int_Tables_number 225
_symmetry_space_group_name_Hall '-F 4 2 3'
_cell_length_a 9.0160
_cell_length_b 9.0160
_cell_length_c 9.0160
_cell_angle_alpha 90.00
_cell_angle_beta 90.00
_cell_angle_gamma 90.00
loop_
_atom_site_label
_atom_site_type_symbol
_atom_site_fract_x
_atom_site_fract_y
_atom_site_fract_z
Rb1 Rb 0.2500 0.2500 0.2500
Tc1 Tc 0.0000 0.0000 0.0000
I1 I 0.0000 0.0000 0.5000
```

- E above lowest polymorph: 0 meV/atom
- Formation energy without anion corrections: 0.64 eV per atom
- Total energy: -2.828 eV/atom

=====

(3)
A plane-wave DFT calculation with PBE was carried out for a relaxed structure of Sc4GaCo2.

Structure (CIF):
```
data_Sc4GaCo2
_symmetry_space_group_name_H-M 'R -3 m'
_symmetry_Int_Tables_number 166
_symmetry_space_group_name_Hall '-R 3 2"'
_cell_length_a 4.3025
_cell_length_b 4.3025
_cell_length_c 25.5737
_cell_angle_alpha 90.00
_cell_angle_beta 90.00
_cell_angle_gamma 120.00
loop_
_atom_site_label
_atom_site_type_symbol
_atom_site_fract_x
_atom_site_fract_y
_atom_site_fract_z
Sc1 Sc 0.0000 0.0000 0.1115
Sc2 Sc 0.0000 0.0000 0.2977
Ga1 Ga 0.0000 0.0000 0.5000
Co1 Co 0.0000 0.0000 0.4070
```

- E above lowest polymorph: 99 meV/atom
- ΔH_f (0 K): -0.2276 eV per atom
- Total energy: -6.308 eV/atom

=====

(4)
A plane-wave DFT calculation with PBE was carried out for a relaxed structure of DyAlRh.

Structure (CIF):
```
data_DyAlRh
_symmetry_space_group_name_H-M 'I 4 m m'
_symmetry_Int_Tables_number 107
_symmetry_space_group_name_Hall 'I 4 -2'
_cell_length_a 3.2210
_cell_length_b 3.2210
_cell_length_c 10.9494
_cell_angle_alpha 90.00
_cell_angle_beta 90.00
_cell_angle_gamma 90.00
loop_
_atom_site_label
_atom_site_type_symbol
_atom_site_fract_x
_atom_site_fract_y
_atom_site_fract_z
Dy1 Dy 0.0000 0.0000 0.0000
Al1 Al 0.0000 0.0000 0.7110
Rh1 Rh 0.0000 0.0000 0.3230
```

- ΔH_f (0 K): -0.7213 eV per atom
- Total energy: -5.953 eV/atom